NaCaFe2C | PBEsol | optimized geometry

Lattice parameters (Å, degrees): 4.457 4.457 5.023 90.00 90.00 90.00
Space group P4/mmm (No. 123)
Unique sites:
Na 0.000 0.000 0.000 x1
Ca 0.000 0.000 0.500 x1
Fe 0.000 0.500 0.500 x2
C 0.500 0.500 0.000 x1

E_tot = -0.1214 hartree per atom

CaRe2H6CN2O10 | PBEsol | optimized geometry

Lattice parameters (Å, degrees): 7.204 9.045 9.416 112.90 91.23 106.25
Space group P-1 (No. 2)
Unique sites:
Ca 0.075 0.209 0.475 x2
Re 0.222 0.683 0.835 x2
Re 0.333 0.617 0.366 x2
H 0.126 0.285 0.913 x2
H 0.184 0.974 0.177 x2
H 0.332 0.157 0.221 x2
H 0.352 0.293 0.992 x2
H 0.418 0.995 0.631 x2
H 0.460 0.861 0.180 x2
C 0.262 0.140 0.756 x2
N 0.247 0.247 0.897 x2
N 0.428 0.099 0.732 x2
O 0.108 0.465 0.740 x2
O 0.122 0.080 0.643 x2
O 0.139 0.783 0.735 x2
O 0.170 0.762 0.026 x2
O 0.208 0.465 0.431 x2
O 0.228 0.090 0.258 x2
O 0.251 0.793 0.449 x2
O 0.290 0.532 0.164 x2
O 0.418 0.328 0.571 x2
O 0.476 0.729 0.843 x2

E_tot = -0.2621 hartree per atom

Na2CaH4C2O8 | PBEsol | optimized geometry

Lattice parameters (Å, degrees): 11.235 19.876 6.004 90.00 90.00 90.00
Space group Fdd2 (No. 43)
Unique sites:
Na 0.063 0.111 0.000 x16
Ca 0.000 0.000 0.516 x8
H 0.025 0.262 0.057 x16
H 0.111 0.227 0.236 x16
C 0.080 0.137 0.500 x16
O 0.001 0.116 0.639 x16
O 0.108 0.244 0.078 x16
O 0.110 0.200 0.497 x16
O 0.122 0.345 0.614 x16

E_tot = -0.2331 hartree per atom

Na2CaH10C2O11 | PBEsol | optimized geometry

Lattice parameters (Å, degrees): 14.418 7.517 11.122 90.00 127.52 90.00
Space group C2/c (No. 15)
Unique sites:
Na 0.084 0.194 0.483 x8
Ca 0.000 0.196 0.750 x4
H 0.063 0.420 0.272 x8
H 0.103 0.186 0.073 x8
H 0.118 0.393 0.047 x8
H 0.178 0.416 0.750 x8
H 0.220 0.435 0.923 x8
C 0.188 0.025 0.316 x8
O 0.000 0.334 0.250 x4
O 0.066 0.286 0.998 x8
O 0.104 0.006 0.173 x8
O 0.150 0.408 0.814 x8
O 0.167 0.008 0.912 x8
O 0.207 0.430 0.635 x8

E_tot = -0.2164 hartree per atom

CaH6C2O7 | PBEsol | optimized geometry

Lattice parameters (Å, degrees): 6.177 7.038 8.286 75.08 70.65 69.39
Space group P-1 (No. 2)
Unique sites:
Ca 0.105 0.265 0.190 x2
H 0.170 0.222 0.831 x2
H 0.196 0.009 0.583 x2
H 0.289 0.982 0.910 x2
H 0.293 0.854 0.390 x2
H 0.352 0.811 0.686 x2
H 0.463 0.868 0.197 x2
C 0.061 0.398 0.553 x2
C 0.416 0.578 0.946 x2
O 0.065 0.411 0.701 x2
O 0.144 0.241 0.481 x2
O 0.226 0.543 0.956 x2
O 0.230 0.855 0.619 x2
O 0.250 0.127 0.924 x2
O 0.291 0.901 0.266 x2
O 0.486 0.731 0.853 x2

E_tot = -0.2308 hartree per atom

CaH2CO4 | PBEsol | optimized geometry

Lattice parameters (Å, degrees): 10.4267 10.4267 7.5011 90.00 90.00 120.00
Space group P3_1 (No. 144)
Unique sites:
Ca 0.1858 0.0844 0.0000 x3
Ca 0.2394 0.7584 0.3211 x3
Ca 0.5722 0.4244 0.3078 x3
H 0.0019 0.5467 0.5715 x3
H 0.1109 0.7731 0.9008 x3
H 0.1246 0.3296 0.0717 x3
H 0.3323 0.1195 0.4006 x3
H 0.3344 0.2201 0.5620 x3
H 0.4491 0.0031 0.0755 x3
C 0.0804 0.1757 0.7065 x3
C 0.1581 0.5654 0.0272 x3
C 0.4902 0.2527 0.9402 x3
O 0.0222 0.7772 0.3974 x3
O 0.0230 0.2364 0.6058 x3
O 0.0572 0.0021 0.4569 x3
O 0.0672 0.5291 0.4881 x3
O 0.0871 0.6373 0.0535 x3
O 0.0985 0.4481 0.9266 x3
O 0.1251 0.8591 0.8258 x3
O 0.2796 0.6063 0.1103 x3
O 0.4012 0.2025 0.4829 x3
O 0.4208 0.1098 0.9160 x3
O 0.4311 0.3098 0.0429 x3
O 0.6098 0.3348 0.8542 x3

E_tot = -0.2478 hartree per atom

Ca2HfHgC | PBEsol | optimized geometry

Lattice parameters (Å, degrees): 4.980 4.980 4.401 90.00 90.00 90.00
Space group P4/mmm (No. 123)
Unique sites:
Ca 0.000 0.500 0.000 x2
Hf 0.000 0.000 0.500 x1
Hg 0.500 0.500 0.500 x1
C 0.000 0.000 0.000 x1

E_tot = -0.1878 hartree per atom

LiCa2HgC | PBEsol | optimized geometry

Lattice parameters (Å, degrees): 5.075 5.075 4.368 90.00 90.00 90.00
Space group P4/mmm (No. 123)
Unique sites:
Li 0.000 0.000 0.000 x1
Ca 0.000 0.500 0.500 x2
Hg 0.500 0.500 0.000 x1
C 0.500 0.500 0.500 x1

E_tot = -0.1126 hartree per atom